SrCaFe4O12, relaxed, DFT PBE with a Hubbard U; space group = No. 123; E = -106.21 eV per cell
1.0
5.3949 0.0000 0.0000
0.0000 5.3949 0.0000
0.0000 0.0000 7.6643
Sr Ca Fe O
1 1 4 12
Direct
0.0000 0.0000 0.0000 Sr
0.5000 0.5000 0.5000 Ca
0.0000 0.5000 0.2511 Fe
0.0000 0.5000 0.7489 Fe
0.5000 0.0000 0.2511 Fe
0.5000 0.0000 0.7489 Fe
0.0000 0.5000 0.0000 O
0.0000 0.5000 0.5000 O
0.2526 0.2526 0.2551 O
0.2526 0.2526 0.7449 O
0.2526 0.7474 0.2551 O
0.2526 0.7474 0.7449 O
0.5000 0.0000 0.0000 O
0.5000 0.0000 0.5000 O
0.7474 0.2526 0.2551 O
0.7474 0.2526 0.7449 O
0.7474 0.7474 0.2551 O
0.7474 0.7474 0.7449 O